Below is an optimized crystal structure of Ca2TaGaCl, with properties calculated at the GGA-PBE level.

## Properties
Its spin magnetization is 2.10 μB per formula unit. The density of states at the Fermi level is 0.90 states/eV per atom. For the mass density, the calculation gives 3.5 g cm⁻³. As for the total energy: -18.6 eV/f.u. The space group is No. 123.

Cell lengths 6.0043, 6.0043, 4.8832 Å; angles 90.00, 90.00, 90.00 degrees
Fractional coordinates of all 5 atoms:
Ca (0.0000, 0.5000, 0.0000)
Ca (0.5000, 0.0000, 0.0000)
Ta (0.0000, 0.0000, 0.0000)
Ga (0.0000, 0.0000, 0.5000)
Cl (0.5000, 0.5000, 0.5000)



Below is an optimized crystal structure of Ca2GaTcCl, with properties calculated at the GGA-PBE level.

## Properties
Its spin magnetization is 3.97 μB per formula unit. The density of states at the Fermi level is 0.87 states/eV per atom. For the mass density, the calculation gives 2.8 g cm⁻³. As for the total energy: -15.7 eV/f.u. The space group is No. 123.

Cell lengths 5.7572, 5.7572, 5.1260 Å; angles 90.00, 90.00, 90.00 degrees
Fractional coordinates of all 5 atoms:
Ca (0.0000, 0.5000, 0.0000)
Ca (0.5000, 0.0000, 0.0000)
Ga (0.0000, 0.0000, 0.0000)
Tc (0.5000, 0.5000, 0.5000)
Cl (0.0000, 0.0000, 0.5000)



Below is an optimized crystal structure of CaTl2GaCl, with properties calculated at the GGA-PBE level.

## Properties
Its spin magnetization is 0.00 μB per formula unit. The density of states at the Fermi level is 1.36 states/eV per atom. For the mass density, the calculation gives 4.2 g cm⁻³. As for the total energy: -10.1 eV/f.u. The space group is No. 123.

Cell lengths 6.2795, 6.2795, 5.5335 Å; angles 90.00, 90.00, 90.00 degrees
Fractional coordinates of all 5 atoms:
Ca (0.0000, 0.0000, 0.0000)
Tl (0.0000, 0.5000, 0.0000)
Tl (0.5000, 0.0000, 0.0000)
Ga (0.0000, 0.0000, 0.5000)
Cl (0.5000, 0.5000, 0.5000)



Below is an optimized crystal structure of CaVGa2Cl, with properties calculated at the GGA-PBE level.

## Properties
Its spin magnetization is 2.76 μB per formula unit. The density of states at the Fermi level is 0.80 states/eV per atom. For the mass density, the calculation gives 3.5 g cm⁻³. As for the total energy: -17.9 eV/f.u. The space group is No. 123.

Cell lengths 5.3004, 5.3004, 4.4617 Å; angles 90.00, 90.00, 90.00 degrees
Fractional coordinates of all 5 atoms:
Ca (0.0000, 0.0000, 0.0000)
V (0.5000, 0.5000, 0.0000)
Ga (0.0000, 0.5000, 0.5000)
Ga (0.5000, 0.0000, 0.5000)
Cl (0.5000, 0.5000, 0.5000)



Below is an optimized crystal structure of Ca2GdCl, with properties calculated at the GGA-PBE level.

## Properties
Its spin magnetization is 8.10 μB per formula unit. The density of states at the Fermi level is 1.27 states/eV per atom. For the mass density, the calculation gives 3.6 g cm⁻³. As for the total energy: -23.1 eV/f.u. The space group is No. 166.

Cell lengths 10.3912, 10.3912, 10.3912 Å; angles 20.97, 20.97, 20.97 degrees
Fractional coordinates of all 4 atoms:
Ca (0.2365, 0.2365, 0.2365)
Ca (0.7635, 0.7635, 0.7635)
Gd (0.0000, 0.0000, 0.0000)
Cl (0.5000, 0.5000, 0.5000)



Below is an optimized crystal structure of Ca3GeCl2, with properties calculated at the GGA-PBE level.

## Properties
Its spin magnetization is 0.00 μB per formula unit. For the mass density, the calculation gives 2.7 g cm⁻³. As for the total energy: -22.8 eV/f.u. The space group is No. 62.

Cell lengths 8.6012, 5.9429, 12.6068 Å; angles 90.00, 90.00, 90.00 degrees
Fractional coordinates of all 24 atoms:
Ca (0.1080, 0.2500, 0.0759)
Ca (0.1135, 0.2500, 0.7464)
Ca (0.1517, 0.2500, 0.4273)
Ca (0.3483, 0.7500, 0.9273)
Ca (0.3865, 0.7500, 0.2464)
Ca (0.3920, 0.7500, 0.5759)
Ca (0.6080, 0.2500, 0.4241)
Ca (0.6135, 0.2500, 0.7536)
Ca (0.6517, 0.2500, 0.0727)
Ca (0.8483, 0.7500, 0.5727)
Ca (0.8865, 0.7500, 0.2536)
Ca (0.8920, 0.7500, 0.9241)
Ge (0.1331, 0.7500, 0.0941)
Ge (0.3669, 0.2500, 0.5941)
Ge (0.6331, 0.7500, 0.4059)
Ge (0.8669, 0.2500, 0.9059)
Cl (0.1112, 0.7500, 0.4257)
Cl (0.1148, 0.7500, 0.7442)
Cl (0.3852, 0.2500, 0.2442)
Cl (0.3888, 0.2500, 0.9257)
Cl (0.6112, 0.7500, 0.0743)
Cl (0.6148, 0.7500, 0.7558)
Cl (0.8852, 0.2500, 0.2558)
Cl (0.8888, 0.2500, 0.5743)



Below is an optimized crystal structure of Ca3Ge5Cl12, with properties calculated at the GGA-PBE level.

## Properties
Its spin magnetization is 4.00 μB per formula unit. The density of states at the Fermi level is 0.80 states/eV per atom. For the mass density, the calculation gives 2.2 g cm⁻³. As for the total energy: -69.9 eV/f.u. The space group is No. 230.

Cell lengths 15.2883, 15.2883, 15.2883 Å; angles 109.47, 109.47, 109.47 degrees
Fractional coordinates of all 80 atoms:
Ca (0.1250, 0.2500, 0.3750)
Ca (0.1250, 0.3750, 0.7500)
Ca (0.2500, 0.3750, 0.1250)
Ca (0.2500, 0.8750, 0.6250)
Ca (0.3750, 0.1250, 0.2500)
Ca (0.3750, 0.7500, 0.1250)
Ca (0.6250, 0.2500, 0.8750)
Ca (0.6250, 0.8750, 0.7500)
Ca (0.7500, 0.1250, 0.3750)
Ca (0.7500, 0.6250, 0.8750)
Ca (0.8750, 0.6250, 0.2500)
Ca (0.8750, 0.7500, 0.6250)
Ge (0.0000, 0.0000, 0.0000)
Ge (0.0000, 0.0000, 0.5000)
Ge (0.0000, 0.5000, 0.0000)
Ge (0.0000, 0.5000, 0.5000)
Ge (0.1250, 0.7500, 0.8750)
Ge (0.1250, 0.8750, 0.2500)
Ge (0.2500, 0.1250, 0.8750)
Ge (0.2500, 0.6250, 0.3750)
Ge (0.3750, 0.2500, 0.6250)
Ge (0.3750, 0.6250, 0.7500)
Ge (0.5000, 0.0000, 0.0000)
Ge (0.5000, 0.0000, 0.5000)
Ge (0.5000, 0.5000, 0.0000)
Ge (0.5000, 0.5000, 0.5000)
Ge (0.6250, 0.3750, 0.2500)
Ge (0.6250, 0.7500, 0.3750)
Ge (0.7500, 0.3750, 0.6250)
Ge (0.7500, 0.8750, 0.1250)
Ge (0.8750, 0.1250, 0.7500)
Ge (0.8750, 0.2500, 0.1250)
Cl (0.0080, 0.1634, 0.6487)
Cl (0.0080, 0.3445, 0.3593)
Cl (0.0148, 0.1555, 0.1634)
Cl (0.0148, 0.3593, 0.8513)
Cl (0.1407, 0.1555, 0.4920)
Cl (0.1407, 0.4852, 0.6487)
Cl (0.1487, 0.6634, 0.5080)
Cl (0.1487, 0.9852, 0.6407)
Cl (0.1555, 0.1634, 0.0148)
Cl (0.1555, 0.4920, 0.1407)
Cl (0.1634, 0.0148, 0.1555)
Cl (0.1634, 0.6487, 0.0080)
Cl (0.3366, 0.3445, 0.4852)
Cl (0.3366, 0.4920, 0.8513)
Cl (0.3445, 0.3593, 0.0080)
Cl (0.3445, 0.4852, 0.3366)
Cl (0.3513, 0.8593, 0.5148)
Cl (0.3513, 0.9920, 0.8366)
Cl (0.3593, 0.0080, 0.3445)
Cl (0.3593, 0.8513, 0.0148)
Cl (0.4852, 0.3366, 0.3445)
Cl (0.4852, 0.6487, 0.1407)
Cl (0.4920, 0.1407, 0.1555)
Cl (0.4920, 0.8513, 0.3366)
Cl (0.5080, 0.1487, 0.6634)
Cl (0.5080, 0.8593, 0.8445)
Cl (0.5148, 0.3513, 0.8593)
Cl (0.5148, 0.6634, 0.6555)
Cl (0.6407, 0.1487, 0.9852)
Cl (0.6407, 0.9920, 0.6555)
Cl (0.6487, 0.0080, 0.1634)
Cl (0.6487, 0.1407, 0.4852)
Cl (0.6555, 0.5148, 0.6634)
Cl (0.6555, 0.6407, 0.9920)
Cl (0.6634, 0.5080, 0.1487)
Cl (0.6634, 0.6555, 0.5148)
Cl (0.8366, 0.3513, 0.9920)
Cl (0.8366, 0.9852, 0.8445)
Cl (0.8445, 0.5080, 0.8593)
Cl (0.8445, 0.8366, 0.9852)
Cl (0.8513, 0.0148, 0.3593)
Cl (0.8513, 0.3366, 0.4920)
Cl (0.8593, 0.5148, 0.3513)
Cl (0.8593, 0.8445, 0.5080)
Cl (0.9852, 0.6407, 0.1487)
Cl (0.9852, 0.8445, 0.8366)
Cl (0.9920, 0.6555, 0.6407)
Cl (0.9920, 0.8366, 0.3513)



Below is an optimized crystal structure of CaGe2Cl6, with properties calculated at the GGA-PBE level.

## Properties
Its spin magnetization is 0.00 μB per formula unit. The density of states at the Fermi level is 0.00 states/eV per atom. For the mass density, the calculation gives 2.3 g cm⁻³. As for the total energy: -34.1 eV/f.u. The energy above the most stable polymorph in this dataset comes out at 0.15 eV/f.u. The space group is No. 15.

Cell lengths 8.8892, 8.8892, 7.4758 Å; angles 97.67, 97.67, 98.50 degrees
Fractional coordinates of all 18 atoms:
Ca (0.0751, 0.9249, 0.7500)
Ca (0.9249, 0.0751, 0.2500)
Ge (0.2310, 0.4666, 0.8070)
Ge (0.4666, 0.2310, 0.3070)
Ge (0.5334, 0.7690, 0.6930)
Ge (0.7690, 0.5334, 0.1930)
Cl (0.0396, 0.6234, 0.8249)
Cl (0.0585, 0.1947, 0.6075)
Cl (0.1947, 0.0585, 0.1075)
Cl (0.2993, 0.5387, 0.5310)
Cl (0.3766, 0.9604, 0.6751)
Cl (0.4613, 0.7007, 0.9690)
Cl (0.5387, 0.2993, 0.0310)
Cl (0.6234, 0.0396, 0.3249)
Cl (0.7007, 0.4613, 0.4690)
Cl (0.8053, 0.9415, 0.8925)
Cl (0.9415, 0.8053, 0.3925)
Cl (0.9604, 0.3766, 0.1751)



Below is an optimized crystal structure of Ca2GeCl, with properties calculated at the GGA-PBE level.

## Properties
Its spin magnetization is 0.00 μB per formula unit. The density of states at the Fermi level is 0.39 states/eV per atom. For the mass density, the calculation gives 2.9 g cm⁻³. As for the total energy: -15.1 eV/f.u. The energy above the most stable polymorph in this dataset comes out at 0.00 eV/f.u. The space group is No. 166.

Cell lengths 7.7524, 7.7524, 7.7524 Å; angles 30.84, 30.84, 30.84 degrees
Fractional coordinates of all 4 atoms:
Ca (0.2448, 0.2448, 0.2448)
Ca (0.7552, 0.7552, 0.7552)
Ge (0.5000, 0.5000, 0.5000)
Cl (0.0000, 0.0000, 0.0000)



Below is an optimized crystal structure of Ca3GeCl, with properties calculated at the GGA-PBE level.

## Properties
Its spin magnetization is 0.00 μB per formula unit. The density of states at the Fermi level is 0.55 states/eV per atom. For the mass density, the calculation gives 2.0 g cm⁻³. As for the total energy: -15.6 eV/f.u. The energy above the most stable polymorph in this dataset comes out at 0.00 eV/f.u. The space group is No. 221.

Cell lengths 5.7144, 5.7144, 5.7144 Å; angles 90.00, 90.00, 90.00 degrees
Fractional coordinates of all 5 atoms:
Ca (0.0000, 0.0000, 0.5000)
Ca (0.0000, 0.5000, 0.0000)
Ca (0.5000, 0.0000, 0.0000)
Ge (0.0000, 0.0000, 0.0000)
Cl (0.5000, 0.5000, 0.5000)